DFT (PBE) results for a relaxed ScSn2Ir2 crystal.

VASP energy	-7.009	eV per atom
D(E_F)	3.611	states/eV per cell
formation energy from the elements	-597.5	meV/atom
magnetization	0.000	μB per formula unit

Cell: 4.3825 4.5282 9.9411 Å, 90.00 90.00 90.00°
Last column: nearest neighbours and their distance in Å.
Element x y z (fractional)
Sc (0.2500, 0.2500, 0.1757)  6 Ir 2.76-2.88
Sc (0.7500, 0.7500, 0.8243)  6 Ir 2.76-2.88
Sn (0.2500, 0.2500, 0.4922)  4 Ir 2.76-2.79
Sn (0.2500, 0.2500, 0.8269)  6 Ir 2.71-2.82
Sn (0.7500, 0.7500, 0.1731)  6 Ir 2.71-2.82
Sn (0.7500, 0.7500, 0.5078)  4 Ir 2.76-2.79
Ir (0.2500, 0.7500, 0.3339)  6 Sn 2.71-2.79, 2 Sc 2.76
Ir (0.2500, 0.7500, 0.9965)  4 Sc 2.78-2.88, 4 Sn 2.81-2.82
Ir (0.7500, 0.2500, 0.0035)  4 Sc 2.78-2.88, 4 Sn 2.81-2.82
Ir (0.7500, 0.2500, 0.6661)  6 Sn 2.71-2.79, 2 Sc 2.76